Record 1
DFT (GGA-PBEsol) results for a geometry-optimized Zr2Al2Pt structure.

```
Zr2Al2Pt
1.0
6.454 0.000 0.000
0.000 6.454 0.000
0.000 0.000 4.291
Zr Al Pt
4 4 2
direct
0.170 0.330 0.000 Zr
0.330 0.830 0.000 Zr
0.670 0.170 0.000 Zr
0.830 0.670 0.000 Zr
0.140 0.640 0.500 Al
0.360 0.140 0.500 Al
0.640 0.860 0.500 Al
0.860 0.360 0.500 Al
0.000 0.000 0.500 Pt
0.500 0.500 0.500 Pt
```

Properties
Density: 8.02 g/cm3
DFT formation energy: -0.776 eV per atom
Crystal system: tetragonal
Space group: P4/mbm

***

Record 2
DFT (GGA-PBEsol) results for a geometry-optimized LiCa3Ru structure.

```
LiCa3Ru
1.0
5.202 0.000 0.000
0.000 5.202 0.000
0.000 0.000 5.202
Li Ca Ru
1 3 1
direct
0.000 0.000 0.000 Li
0.000 0.000 0.500 Ca
0.000 0.500 0.000 Ca
0.500 0.000 0.000 Ca
0.500 0.500 0.500 Ru
```

Properties
Density: 2.69 g/cm3
DFT formation energy: 1.035 eV per atom
Crystal system: cubic
Space group: Pm-3m

***

Record 3
DFT (GGA-PBEsol) results for a geometry-optimized SbBr4 structure.

```
SbBr4
1.0
6.084 0.000 0.000
0.000 6.084 0.000
0.000 0.000 8.394
Sb Br
2 8
direct
0.000 0.000 0.000 Sb
0.500 0.500 0.500 Sb
0.000 0.000 0.323 Br
0.000 0.000 0.677 Br
0.000 0.500 0.250 Br
0.000 0.500 0.750 Br
0.500 0.000 0.250 Br
0.500 0.000 0.750 Br
0.500 0.500 0.177 Br
0.500 0.500 0.823 Br
```

Properties
Density: 4.72 g/cm3
Electronic total energy: -20.4 eV/cell
Crystal system: tetragonal
Space group: I4/mmm

***

Record 4
DFT (GGA-PBEsol) results for a geometry-optimized NaTa2GaAu structure.

```
NaTa2GaAu
1.0
4.940 0.000 0.000
0.000 4.940 0.000
0.000 0.000 4.874
Na Ta Ga Au
1 2 1 1
direct
0.000 0.000 0.000 Na
0.000 0.500 0.500 Ta
0.500 0.000 0.500 Ta
0.500 0.500 0.000 Ga
0.000 0.000 0.500 Au
```

Properties
Density: 9.10 g/cm3
DFT formation energy: 1.418 eV per atom
Crystal system: tetragonal
Space group: P4/mmm

***

Record 5
DFT (GGA-PBEsol) results for a geometry-optimized SrCoCl2 structure.

```
SrCoCl2
1.0
4.768 0.000 0.000
0.000 3.737 0.000
-0.621 0.000 4.739
Sr Co Cl
1 1 2
direct
0.000 0.000 0.000 Sr
0.500 0.000 0.500 Co
0.301 0.500 0.699 Cl
0.699 0.500 0.301 Cl
```

Properties
Density: 4.28 g/cm3
Crystal system: monoclinic
Space group: P2/m
ΔE to the lowest computed polymorph: 117.8 meV/atom

***

Record 6
DFT (GGA-PBEsol) results for a geometry-optimized Co4CuIr structure.

```
Co4CuIr
1.0
0.000 3.252 3.252
3.252 0.000 3.252
3.252 3.252 0.000
Co Cu Ir
4 1 1
direct
0.125 0.125 0.125 Co
0.125 0.125 0.624 Co
0.125 0.624 0.125 Co
0.624 0.125 0.125 Co
0.500 0.500 0.500 Cu
0.750 0.750 0.750 Ir
```

Properties
Density: 11.86 g/cm3
DFT formation energy: 0.192 eV per atom
Crystal system: cubic
Space group: F-43m

***

Record 7
DFT (GGA-PBEsol) results for a geometry-optimized Cr2HgF structure.

```
Cr2HgF
1.0
6.423 0.000 0.000
0.000 6.423 0.000
0.000 0.000 6.423
Cr Hg F
8 4 4
direct
0.250 0.250 0.250 Cr
0.250 0.250 0.750 Cr
0.250 0.750 0.250 Cr
0.250 0.750 0.750 Cr
0.750 0.250 0.250 Cr
0.750 0.250 0.750 Cr
0.750 0.750 0.250 Cr
0.750 0.750 0.750 Cr
0.000 0.000 0.000 Hg
0.000 0.500 0.500 Hg
0.500 0.000 0.500 Hg
0.500 0.500 0.000 Hg
0.000 0.000 0.500 F
0.000 0.500 0.000 F
0.500 0.000 0.000 F
0.500 0.500 0.500 F
```

Properties
Density: 8.11 g/cm3
Electronic total energy: -87.4 eV/cell
Crystal system: cubic
Space group: Fm-3m

***

Record 8
DFT (GGA-PBEsol) results for a geometry-optimized SrHgTe2I structure.

```
SrHgTe2I
1.0
6.342 0.000 0.000
0.000 6.342 0.000
0.000 0.000 6.206
Sr Hg Te I
1 1 2 1
direct
0.000 0.000 0.000 Sr
0.500 0.500 0.500 Hg
0.000 0.500 0.000 Te
0.500 0.000 0.000 Te
0.000 0.000 0.500 I
```

Properties
Density: 4.46 g/cm3
Electronic total energy: -11.4 eV/cell
Crystal system: tetragonal
Space group: P4/mmm

***

Record 9
DFT (GGA-PBEsol) results for a geometry-optimized NaCuO2 structure.

```
NaCuO2
1.0
3.605 0.000 0.000
0.000 10.792 0.000
0.000 0.000 5.337
Na Cu O
4 4 8
direct
0.000 0.210 0.250 Na
0.000 0.790 0.750 Na
0.500 0.290 0.750 Na
0.500 0.710 0.250 Na
0.000 0.497 0.250 Cu
0.000 0.503 0.750 Cu
0.500 0.003 0.750 Cu
0.500 0.997 0.250 Cu
0.000 0.386 0.506 O
0.000 0.386 0.994 O
0.000 0.614 0.006 O
0.000 0.614 0.494 O
0.500 0.114 0.006 O
0.500 0.114 0.494 O
0.500 0.886 0.506 O
0.500 0.886 0.994 O
```

Properties
Density: 3.79 g/cm3
Electronic total energy: -80.7 eV/cell
Crystal system: orthorhombic
Space group: Cmcm

***

Record 10
DFT (GGA-PBEsol) results for a geometry-optimized AlS2N2 structure.

```
AlS2N2
1.0
4.612 0.000 0.000
0.000 4.612 0.000
0.000 0.000 3.620
Al S N
1 2 2
direct
0.000 0.000 0.000 Al
0.000 0.500 0.000 S
0.500 0.000 0.000 S
0.000 0.000 0.500 N
0.500 0.500 0.500 N
```

Properties
Density: 2.57 g/cm3
Crystal system: tetragonal
Space group: P4/mmm
ΔE to the lowest computed polymorph: 579.9 meV/atom

***

Record 11
DFT (GGA-PBEsol) results for a geometry-optimized Cs3As11 structure.

```
Cs3As11
1.0
6.464 -7.678 0.000
6.464 7.678 0.000
-1.616 0.000 19.185
Cs As
12 44
direct
0.036 0.200 0.630 Cs
0.200 0.036 0.130 Cs
0.208 0.709 0.607 Cs
0.241 0.531 0.118 Cs
0.291 0.792 0.893 Cs
0.469 0.759 0.382 Cs
0.531 0.241 0.618 Cs
0.709 0.208 0.107 Cs
0.759 0.469 0.882 Cs
0.792 0.291 0.393 Cs
0.800 0.964 0.870 Cs
0.964 0.800 0.370 Cs
0.016 0.248 0.996 As
0.056 0.343 0.813 As
0.101 0.157 0.445 As
0.109 0.440 0.932 As
0.127 0.145 0.318 As
0.137 0.512 0.395 As
0.145 0.127 0.818 As
0.157 0.101 0.945 As
0.196 0.387 0.295 As
0.220 0.492 0.753 As
0.229 0.383 0.482 As
0.248 0.016 0.496 As
0.343 0.056 0.313 As
0.359 0.456 0.943 As
0.383 0.229 0.982 As
0.387 0.196 0.795 As
0.415 0.443 0.818 As
0.440 0.109 0.432 As
0.443 0.415 0.318 As
0.456 0.359 0.443 As
0.488 0.863 0.105 As
0.492 0.220 0.253 As
0.508 0.780 0.747 As
0.512 0.137 0.895 As
0.544 0.641 0.557 As
0.557 0.585 0.682 As
0.560 0.891 0.568 As
0.585 0.557 0.182 As
0.613 0.804 0.205 As
0.617 0.771 0.018 As
0.641 0.544 0.057 As
0.657 0.944 0.687 As
0.752 0.984 0.504 As
0.771 0.617 0.518 As
0.780 0.508 0.247 As
0.804 0.613 0.705 As
0.843 0.899 0.055 As
0.855 0.873 0.182 As
0.863 0.488 0.605 As
0.873 0.855 0.682 As
0.891 0.560 0.068 As
0.899 0.843 0.555 As
0.944 0.657 0.187 As
0.984 0.752 0.004 As
```

Properties
Density: 4.26 g/cm3
DFT formation energy: -0.252 eV per atom
Crystal system: monoclinic
Space group: C2/c

***

Record 12
DFT (GGA-PBEsol) results for a geometry-optimized LaCeSi4Pd4 structure.

```
LaCeSi4Pd4
1.0
4.184 0.000 0.000
0.000 4.184 0.000
0.000 0.000 9.936
La Ce Si Pd
1 1 4 4
direct
0.000 0.000 0.000 La
0.500 0.500 0.500 Ce
0.000 0.000 0.382 Si
0.000 0.000 0.618 Si
0.500 0.500 0.120 Si
0.500 0.500 0.880 Si
0.000 0.500 0.253 Pd
0.000 0.500 0.747 Pd
0.500 0.000 0.253 Pd
0.500 0.000 0.747 Pd
```

Properties
Density: 7.80 g/cm3
Electronic total energy: -68.4 eV/cell
Crystal system: tetragonal
Space group: P4/mmm